[1]
The following is a DFT calculation (PBE) of a relaxed structure of Ca3ZnNi.

The formation energy is 0.02 eV/atom. The value obtained for the polymorph energy (0 for the lowest one) is 0.782 eV/f.u.

The space group is Pm-3m (No. 221) and the conventional cell measures 5.3708, 5.3708 and 5.3708 Å, with angles of 90.00, 90.00 and 90.00 degrees. The inequivalent atoms are Ca at (0.0000, 0.0000, 0.5000), Zn at (0.5000, 0.5000, 0.5000) and Ni at (0.0000, 0.0000, 0.0000).

***

[2]
The following is a DFT calculation (PBE) of a relaxed structure of Li2RhCl.

The value obtained for the polymorph energy (0 for the lowest one) is 0.920 eV/f.u. The value obtained for the raw formation energy is -391 meV/atom.

The space group is C2/m (No. 12) and the conventional cell measures 5.1028, 7.3174 and 3.0611 Å, with angles of 90.00, 90.23 and 90.00 degrees. The inequivalent atoms are Li at (0.2500, 0.2500, 0.0000), Rh at (0.0000, 0.0000, 0.5000) and Cl at (0.0000, 0.5000, 0.5000).

***

[3]
The following is a DFT calculation (PBE) of a relaxed structure of BaCu2Te.

The value obtained for the raw formation energy is -337 meV/atom.

The space group is Pm (No. 6) and the conventional cell measures 4.8041, 4.3848 and 5.4307 Å, with angles of 90.00, 93.74 and 90.00 degrees. The inequivalent atoms are Ba at (0.0000, 0.0000, 0.0000), Cu at (0.4820, 0.5000, 0.7636), Cu at (0.4832, 0.0000, 0.5543) and Te at (0.5226, 0.5000, 0.2658).

***

[4]
The following is a DFT calculation (PBE) of a relaxed structure of Cs2TiPb.

The formation energy is 1.08 eV/atom. The value obtained for the polymorph energy (0 for the lowest one) is 2.175 eV/f.u.

The space group is Fm-3m (No. 225) and the conventional cell measures 8.9590, 8.9590 and 8.9590 Å, with angles of 90.00, 90.00 and 90.00 degrees. The inequivalent atoms are Cs at (0.2500, 0.2500, 0.2500), Ti at (0.0000, 0.0000, 0.0000) and Pb at (0.0000, 0.0000, 0.5000).

***

[5]
The following is a DFT calculation (PBE) of a relaxed structure of CrAsBr2.

The value obtained for the polymorph energy (0 for the lowest one) is 0.151 eV/f.u. The value obtained for the raw formation energy is -130 meV/atom.

The space group is Cm (No. 8) and the conventional cell measures 8.7063, 3.5747 and 7.5700 Å, with angles of 90.00, 99.03 and 90.00 degrees. The inequivalent atoms are Cr at (0.0000, 0.0000, 0.0000), As at (0.2073, 0.5000, 0.0381), Br at (0.0813, 0.5000, 0.3106) and Br at (0.3832, 0.0000, 0.7631).

***

[6]
The following is a DFT calculation (PBE) of a relaxed structure of LaTa2Cu.

The formation energy is 0.57 eV/atom. The value obtained for the polymorph energy (0 for the lowest one) is 1.259 eV/f.u.

The space group is I4/mmm (No. 139) and the conventional cell measures 4.1394, 4.1394 and 9.5189 Å, with angles of 90.00, 90.00 and 90.00 degrees. The inequivalent atoms are La at (0.0000, 0.0000, 0.0000), Ta at (0.0000, 0.5000, 0.2500) and Cu at (0.0000, 0.0000, 0.5000).

***

[7]
The following is a DFT calculation (PBE) of a relaxed structure of Ba2Li17Hg3.

The formation energy is -0.07 eV/atom.

The space group is R-3m (No. 166, hexagonal axes) and the conventional cell measures 11.1547, 11.1547 and 15.6325 Å, with angles of 90.00, 90.00 and 120.00 degrees. The inequivalent atoms are Ba at (0.0000, 0.0000, 0.1674), Li at (0.0000, 0.0000, 0.4089), Li at (0.0000, 0.2595, 0.5000), Li at (0.0000, 0.5000, 0.0000), Li at (0.0037, 0.5018, 0.6737) and Hg at (0.0000, 0.5000, 0.5000).

***

Density
In order: 2.62 4.42 5.70 4.81 4.09 11.49 2.94
Unit: g/cm3